Computed, not measured: a PBEsol-optimized structure of PbBrO2 at the meta-GGA SCAN level of DFT.

Values from the calculation:
Energy relative to the elements, uncorrected in eV per atom: -0.1120
DOS at the Fermi energy in states/eV per cell: 9.95
Crystal system: tetragonal
Total energy in Ry per atom: -1.9872

The structure in CIF format:
```
data_PbBrO2
_space_group_name_H-M_alt 'I -4 2 d'
_space_group_IT_number 122
_space_group_name_Hall 'I -4 2bw'
_cell_length_a 6.7227
_cell_length_b 6.7227
_cell_length_c 6.4775
_cell_angle_alpha 90.00
_cell_angle_beta 90.00
_cell_angle_gamma 90.00
loop_
_atom_site_label
_atom_site_type_symbol
_atom_site_fract_x
_atom_site_fract_y
_atom_site_fract_z
Pb1 Pb 0.0000 0.0000 0.0000
Br1 Br 0.0000 0.0000 0.5000
O1 O 0.1458 0.2500 0.1250
```